This record from the Alexandria database describes a relaxed structure of Pr2Sm6YHo. The functional is PBE-GGA.

Symmetry: C2/c
Energy relative to the elements, eV/atom: 0.11
Total energy, eV/atom: -4.778

Cell lengths 8.946, 8.946, 9.837 Å; angles 94.36, 94.36, 118.47 degrees
Sites, in units of the cell vectors:
Pr 0.194 0.300 0.041
Pr 0.300 0.194 0.541
Pr 0.700 0.806 0.459
Pr 0.806 0.700 0.959
Sm 0.020 0.576 0.190
Sm 0.127 0.749 0.556
Sm 0.251 0.873 0.944
Sm 0.290 0.499 0.380
Sm 0.424 0.980 0.310
Sm 0.499 0.290 0.880
Sm 0.501 0.710 0.120
Sm 0.576 0.020 0.690
Sm 0.710 0.501 0.620
Sm 0.749 0.127 0.056
Sm 0.873 0.251 0.444
Sm 0.980 0.424 0.810
Y 0.018 0.982 0.250
Y 0.982 0.018 0.750
Ho 0.408 0.592 0.750
Ho 0.592 0.408 0.250

=====

This record from the Alexandria database describes a relaxed structure of Pr3Sm6Y2Ho. The functional is PBE-GGA.

Symmetry: C2/m
Energy relative to the elements, eV/atom: 0.02
Total energy, eV/atom: -4.996

Cell lengths 6.300, 6.300, 12.036 Å; angles 95.00, 95.00, 120.01 degrees
Sites, in units of the cell vectors:
Pr 0.000 0.000 0.000
Pr 0.333 0.667 0.000
Pr 0.667 0.333 0.000
Sm 0.086 0.418 0.255
Sm 0.250 0.250 0.746
Sm 0.418 0.086 0.255
Sm 0.582 0.914 0.745
Sm 0.750 0.750 0.254
Sm 0.914 0.582 0.745
Y 0.167 0.833 0.500
Y 0.833 0.167 0.500
Ho 0.500 0.500 0.500

=====

This record from the Alexandria database describes a relaxed structure of Pr5SmY2Ho. The functional is PBE-GGA.

Symmetry: I4/mcm
Energy relative to the elements, eV/atom: 0.30
Total energy, eV/atom: -4.820

Cell lengths 9.771, 9.771, 9.771 Å; angles 121.71, 121.71, 87.06 degrees
Sites, in units of the cell vectors:
Pr 0.000 0.000 0.000
Pr 0.068 0.568 0.904
Pr 0.164 0.068 0.500
Pr 0.336 0.836 0.904
Pr 0.432 0.336 0.500
Pr 0.500 0.500 0.000
Pr 0.568 0.664 0.500
Pr 0.664 0.164 0.096
Pr 0.836 0.932 0.500
Pr 0.932 0.432 0.096
Sm 0.250 0.250 0.000
Sm 0.750 0.750 0.000
Y 0.108 0.392 0.500
Y 0.392 0.892 0.283
Y 0.608 0.108 0.717
Y 0.892 0.608 0.500
Ho 0.250 0.750 0.500
Ho 0.750 0.250 0.500

=====

This record from the Alexandria database describes a relaxed structure of Pr5SmYHo2. The functional is PBE-GGA.

Symmetry: Cmc2_1
Energy relative to the elements, eV/atom: 0.15
Total energy, eV/atom: -4.769

Cell lengths 10.736, 10.736, 10.773 Å; angles 90.00, 90.00, 149.28 degrees
Sites, in units of the cell vectors:
Pr 0.015 0.985 0.500
Pr 0.279 0.721 0.794
Pr 0.295 0.705 0.187
Pr 0.387 0.613 0.505
Pr 0.483 0.517 0.227
Pr 0.517 0.483 0.727
Pr 0.613 0.387 0.005
Pr 0.705 0.295 0.687
Pr 0.721 0.279 0.294
Pr 0.985 0.015 0.000
Sm 0.200 0.800 0.492
Sm 0.800 0.200 0.992
Y 0.407 0.593 0.944
Y 0.593 0.407 0.444
Ho 0.112 0.888 0.221
Ho 0.115 0.885 0.791
Ho 0.885 0.115 0.291
Ho 0.888 0.112 0.721

=====

This record from the Alexandria database describes a relaxed structure of PrSmHoZr. The functional is PBE-GGA.

Symmetry: F-43m
Energy relative to the elements, eV/atom: 0.25
Total energy, eV/atom: -5.409

Cell lengths 5.569, 5.569, 5.569 Å; angles 60.00, 60.00, 60.00 degrees
Sites, in units of the cell vectors:
Pr 0.000 0.000 0.000
Sm 0.750 0.750 0.750
Ho 0.250 0.250 0.250
Zr 0.500 0.500 0.500

=====

This record from the Alexandria database describes a relaxed structure of Pr2HoSn. The functional is PBE-GGA.

Symmetry: Fm-3m
Energy relative to the elements, eV/atom: -0.26
Distance to the lowest polymorph of the same formula, meV/atom: 168
Total energy, eV/atom: -4.796

Cell lengths 5.560, 5.560, 5.560 Å; angles 60.00, 60.00, 60.00 degrees
Sites, in units of the cell vectors:
Pr 0.250 0.250 0.250
Pr 0.750 0.750 0.750
Ho 0.000 0.000 0.000
Sn 0.500 0.500 0.500

=====

This record from the Alexandria database describes a relaxed structure of PrHo3Sn3. The functional is PBE-GGA.

Symmetry: P6_3/m
Energy relative to the elements, eV/atom: -0.55
Total energy, eV/atom: -4.908

Cell lengths 9.233, 9.233, 5.387 Å; angles 90.00, 90.00, 120.00 degrees
Sites, in units of the cell vectors:
Pr 0.333 0.667 0.250
Pr 0.667 0.333 0.750
Ho 0.003 0.765 0.250
Ho 0.235 0.238 0.250
Ho 0.238 0.003 0.750
Ho 0.762 0.997 0.250
Ho 0.765 0.762 0.750
Ho 0.997 0.235 0.750
Sn 0.073 0.625 0.750
Sn 0.375 0.447 0.750
Sn 0.447 0.073 0.250
Sn 0.553 0.927 0.750
Sn 0.625 0.553 0.250
Sn 0.927 0.375 0.250

=====

This record from the Alexandria database describes a relaxed structure of Pr2HoSn. The functional is PBE-GGA.

Symmetry: R-3m
Energy relative to the elements, eV/atom: 0.06
Distance to the lowest polymorph of the same formula, meV/atom: 484
Total energy, eV/atom: -4.480

Cell lengths 12.453, 12.453, 12.453 Å; angles 16.55, 16.55, 16.55 degrees
Sites, in units of the cell vectors:
Pr 0.088 0.088 0.088
Pr 0.912 0.912 0.912
Ho 0.500 0.500 0.500
Sn 0.000 0.000 0.000

=====

This record from the Alexandria database describes a relaxed structure of Pr2Ho3Sn4. The functional is PBE-GGA.

Symmetry: P2_1/c
Energy relative to the elements, eV/atom: -0.79
Distance to the lowest polymorph of the same formula, meV/atom: 0
Total energy, eV/atom: -5.159

Cell lengths 8.335, 8.342, 8.055 Å; angles 90.00, 110.29, 90.00 degrees
Sites, in units of the cell vectors:
Pr 0.193 0.177 0.063
Pr 0.193 0.323 0.563
Pr 0.807 0.677 0.437
Pr 0.807 0.823 0.937
Ho 0.248 0.668 0.243
Ho 0.248 0.832 0.743
Ho 0.500 0.000 0.500
Ho 0.500 0.500 0.000
Ho 0.752 0.168 0.257
Ho 0.752 0.332 0.757
Sn 0.083 0.540 0.844
Sn 0.083 0.960 0.344
Sn 0.490 0.134 0.863
Sn 0.490 0.366 0.363
Sn 0.510 0.634 0.637
Sn 0.510 0.866 0.137
Sn 0.917 0.040 0.656
Sn 0.917 0.460 0.156

=====

This record from the Alexandria database describes a relaxed structure of PrHo2Sn. The functional is PBE-GGA.

Symmetry: F-43m
Energy relative to the elements, eV/atom: -0.24
Distance to the lowest polymorph of the same formula, meV/atom: 180
Total energy, eV/atom: -4.724

Cell lengths 5.468, 5.468, 5.468 Å; angles 60.00, 60.00, 60.00 degrees
Sites, in units of the cell vectors:
Pr 0.000 0.000 0.000
Ho 0.250 0.250 0.250
Ho 0.500 0.500 0.500
Sn 0.750 0.750 0.750

=====

This record from the Alexandria database describes a relaxed structure of Pr12HoSn3. The functional is PBE-GGA.

Symmetry: P4/mmm
Energy relative to the elements, eV/atom: -0.32
Total energy, eV/atom: -4.944

Cell lengths 5.016, 5.016, 20.397 Å; angles 90.00, 90.00, 90.00 degrees
Sites, in units of the cell vectors:
Pr 0.000 0.000 0.000
Pr 0.000 0.000 0.244
Pr 0.000 0.000 0.500
Pr 0.000 0.000 0.756
Pr 0.000 0.500 0.122
Pr 0.000 0.500 0.367
Pr 0.000 0.500 0.633
Pr 0.000 0.500 0.878
Pr 0.500 0.000 0.122
Pr 0.500 0.000 0.367
Pr 0.500 0.000 0.633
Pr 0.500 0.000 0.878
Ho 0.500 0.500 0.500
Sn 0.500 0.500 0.000
Sn 0.500 0.500 0.245
Sn 0.500 0.500 0.755

=====

This record from the Alexandria database describes a relaxed structure of Pr2HoSn2. The functional is PBE-GGA.

Symmetry: P4/mbm
Energy relative to the elements, eV/atom: -0.71
Total energy, eV/atom: -5.142

Cell lengths 8.167, 8.167, 4.611 Å; angles 90.00, 90.00, 90.00 degrees
Sites, in units of the cell vectors:
Pr 0.172 0.328 0.000
Pr 0.328 0.828 0.000
Pr 0.672 0.172 0.000
Pr 0.828 0.672 0.000
Ho 0.000 0.000 0.500
Ho 0.500 0.500 0.500
Sn 0.130 0.630 0.500
Sn 0.370 0.130 0.500
Sn 0.630 0.870 0.500
Sn 0.870 0.370 0.500

=====

This record from the Alexandria database describes a relaxed structure of Pr5Ho2Sn5. The functional is PBE-GGA.

Symmetry: C2/m
Energy relative to the elements, eV/atom: -0.55
Total energy, eV/atom: -4.972

Cell lengths 7.864, 7.864, 12.904 Å; angles 109.54, 109.54, 33.14 degrees
Sites, in units of the cell vectors:
Pr 0.000 0.000 0.000
Pr 0.161 0.161 0.541
Pr 0.227 0.227 0.843
Pr 0.773 0.773 0.157
Pr 0.839 0.839 0.459
Ho 0.450 0.450 0.712
Ho 0.550 0.550 0.288
Sn 0.190 0.190 0.291
Sn 0.385 0.385 0.075
Sn 0.500 0.500 0.500
Sn 0.615 0.615 0.925
Sn 0.810 0.810 0.709

=====

This record from the Alexandria database describes a relaxed structure of PrHo4Sn4. The functional is PBE-GGA.

Symmetry: P4_2/n
Energy relative to the elements, eV/atom: -0.42
Total energy, eV/atom: -4.769

Cell lengths 9.894, 9.894, 6.109 Å; angles 90.00, 90.00, 90.00 degrees
Sites, in units of the cell vectors:
Pr 0.250 0.250 0.250
Pr 0.750 0.750 0.750
Ho 0.099 0.645 0.142
Ho 0.145 0.901 0.642
Ho 0.355 0.599 0.642
Ho 0.401 0.855 0.142
Ho 0.599 0.145 0.858
Ho 0.645 0.401 0.358
Ho 0.855 0.099 0.358
Ho 0.901 0.355 0.858
Sn 0.041 0.608 0.653
Sn 0.108 0.959 0.153
Sn 0.392 0.541 0.153
Sn 0.459 0.892 0.653
Sn 0.541 0.108 0.347
Sn 0.608 0.459 0.847
Sn 0.892 0.041 0.847
Sn 0.959 0.392 0.347

=====

This record from the Alexandria database describes a relaxed structure of Pr2HoSn9. The functional is PBE-GGA.

Symmetry: P4/mmm
Energy relative to the elements, eV/atom: -0.47
Total energy, eV/atom: -4.651

Cell lengths 4.750, 4.750, 14.391 Å; angles 90.00, 90.00, 90.00 degrees
Sites, in units of the cell vectors:
Pr 0.000 0.000 0.169
Pr 0.000 0.000 0.831
Ho 0.000 0.000 0.500
Sn 0.000 0.500 0.000
Sn 0.000 0.500 0.339
Sn 0.000 0.500 0.661
Sn 0.500 0.000 0.000
Sn 0.500 0.000 0.339
Sn 0.500 0.000 0.661
Sn 0.500 0.500 0.170
Sn 0.500 0.500 0.500
Sn 0.500 0.500 0.830

=====

This record from the Alexandria database describes a relaxed structure of Pr2HoSn. The functional is PBE-GGA.

Symmetry: P4/mmm
Energy relative to the elements, eV/atom: -0.43
Distance to the lowest polymorph of the same formula, meV/atom: 0
Total energy, eV/atom: -4.964

Cell lengths 4.900, 4.900, 4.990 Å; angles 90.00, 90.00, 90.00 degrees
Sites, in units of the cell vectors:
Pr 0.000 0.500 0.000
Pr 0.500 0.000 0.000
Ho 0.000 0.000 0.500
Sn 0.500 0.500 0.500

=====

This record from the Alexandria database describes a relaxed structure of Pr3HoSn4. The functional is PBE-GGA.

Symmetry: Immm
Energy relative to the elements, eV/atom: -0.57
Total energy, eV/atom: -4.936

Cell lengths 9.693, 9.693, 9.693 Å; angles 155.59, 136.78, 50.26 degrees
Sites, in units of the cell vectors:
Pr 0.000 0.000 0.000
Pr 0.296 0.796 0.500
Pr 0.704 0.204 0.500
Ho 0.500 0.500 0.000
Sn 0.078 0.372 0.705
Sn 0.333 0.628 0.705
Sn 0.667 0.372 0.295
Sn 0.922 0.628 0.295

=====

This record from the Alexandria database describes a relaxed structure of PrHo2Sn. The functional is PBE-GGA.

Symmetry: Cmcm
Energy relative to the elements, eV/atom: -0.30
Distance to the lowest polymorph of the same formula, meV/atom: 120
Total energy, eV/atom: -4.785

Cell lengths 6.978, 6.978, 7.010 Å; angles 90.00, 90.00, 134.40 degrees
Sites, in units of the cell vectors:
Pr 0.068 0.932 0.750
Pr 0.932 0.068 0.250
Ho 0.368 0.632 0.522
Ho 0.368 0.632 0.978
Ho 0.632 0.368 0.022
Ho 0.632 0.368 0.478
Sn 0.180 0.820 0.250
Sn 0.820 0.180 0.750

=====

This record from the Alexandria database describes a relaxed structure of Pr6HoSn10. The functional is PBE-GGA.

Symmetry: P-31m
Energy relative to the elements, eV/atom: -0.57
Total energy, eV/atom: -4.877

Cell lengths 9.461, 9.461, 6.458 Å; angles 90.00, 90.00, 120.00 degrees
Sites, in units of the cell vectors:
Pr 0.000 0.391 0.267
Pr 0.000 0.609 0.733
Pr 0.391 0.000 0.267
Pr 0.391 0.391 0.733
Pr 0.609 0.000 0.733
Pr 0.609 0.609 0.267
Ho 0.000 0.000 0.500
Sn 0.000 0.247 0.817
Sn 0.000 0.753 0.183
Sn 0.247 0.000 0.817
Sn 0.247 0.247 0.183
Sn 0.333 0.667 0.000
Sn 0.333 0.667 0.500
Sn 0.667 0.333 0.000
Sn 0.667 0.333 0.500
Sn 0.753 0.000 0.183
Sn 0.753 0.753 0.817

=====

This record from the Alexandria database describes a relaxed structure of Pr4HoSn4. The functional is PBE-GGA.

Symmetry: P4_2/n
Energy relative to the elements, eV/atom: -0.50
Total energy, eV/atom: -4.913

Cell lengths 9.539, 9.539, 6.528 Å; angles 90.00, 90.00, 90.00 degrees
Sites, in units of the cell vectors:
Pr 0.035 0.670 0.113
Pr 0.170 0.965 0.613
Pr 0.330 0.535 0.613
Pr 0.465 0.830 0.113
Pr 0.535 0.170 0.887
Pr 0.670 0.465 0.387
Pr 0.830 0.035 0.387
Pr 0.965 0.330 0.887
Ho 0.250 0.250 0.250
Ho 0.750 0.750 0.750
Sn 0.020 0.644 0.605
Sn 0.144 0.980 0.105
Sn 0.356 0.520 0.105
Sn 0.480 0.856 0.605
Sn 0.520 0.144 0.395
Sn 0.644 0.480 0.895
Sn 0.856 0.020 0.895
Sn 0.980 0.356 0.395